1.
Below is a relaxed structure of Tm3Mg2Ag2, with properties calculated at the PBE level.

The energy relative to the lowest polymorph listed for this composition comes out at 0.10 eV/f.u.

The space group is C2/m (No. 12) and the conventional cell measures 12.947, 3.474 and 8.485 Å, with angles of 90.00, 114.54 and 90.00 degrees. The asymmetric unit holds Tm at (0.000, 0.000, 0.000), Tm at (0.114, 0.000, 0.447), Mg at (0.142, 0.500, 0.818) and Ag at (0.190, 0.500, 0.215).

=====

2.
Below is a relaxed structure of Tm3MgAg, with properties calculated at the PBE level.

The energy relative to the lowest polymorph listed for this composition comes out at 0.00 eV/f.u.

The space group is Cmcm (No. 63) and the conventional cell measures 5.072, 20.153 and 5.055 Å, with angles of 90.00, 90.00 and 90.00 degrees. The asymmetric unit holds Tm at (0.000, 0.057, 0.250), Tm at (0.000, 0.249, 0.250), Tm at (0.000, 0.438, 0.250), Mg at (0.000, 0.154, 0.750) and Ag at (0.000, 0.338, 0.750).

=====

3.
Below is a relaxed structure of Tm3Mg12Ag, with properties calculated at the PBE level.

The value obtained for the energy is -2.27 eV/atom.

The space group is P4/mmm (No. 123) and the conventional cell measures 4.601, 4.601 and 17.902 Å, with angles of 90.00, 90.00 and 90.00 degrees. The asymmetric unit holds Tm at (0.000, 0.000, 0.000), Tm at (0.000, 0.000, 0.264), Mg at (0.000, 0.500, 0.133), Mg at (0.000, 0.500, 0.393), Mg at (0.500, 0.500, 0.000), Mg at (0.500, 0.500, 0.268), Mg at (0.500, 0.500, 0.500) and Ag at (0.000, 0.000, 0.500).

=====

4.
Below is a relaxed structure of Tm6Mg5Ag, with properties calculated at the PBE level.

The value obtained for the energy is -3.23 eV/atom.

The space group is Cmmm (No. 65) and the conventional cell measures 5.293, 15.912 and 7.351 Å, with angles of 90.00, 90.00 and 90.00 degrees. The asymmetric unit holds Tm at (0.000, 0.000, 0.243), Tm at (0.000, 0.338, 0.247), Mg at (0.000, 0.169, 0.500), Mg at (0.000, 0.173, 0.000), Mg at (0.000, 0.500, 0.500) and Ag at (0.000, 0.500, 0.000).

=====

5.
Below is a relaxed structure of Tm2Mg3Ag, with properties calculated at the PBE level.

The value obtained for the energy is -2.86 eV/atom.

The space group is Pmm2 (No. 25) and the conventional cell measures 3.283, 5.054 and 8.710 Å, with angles of 90.00, 90.00 and 90.00 degrees. The asymmetric unit holds Tm at (0.000, 0.000, 0.000), Tm at (0.000, 0.500, 0.470), Mg at (0.500, 0.000, 0.647), Mg at (0.500, 0.500, 0.152), Mg at (0.500, 0.500, 0.815) and Ag at (0.500, 0.000, 0.317).

=====

6.
Below is a relaxed structure of Tm5Mg4Ag, with properties calculated at the PBE level.

The value obtained for the energy is -3.27 eV/atom.

The space group is P4/mmm (No. 123) and the conventional cell measures 3.714, 3.714 and 18.602 Å, with angles of 90.00, 90.00 and 90.00 degrees. The asymmetric unit holds Tm at (0.000, 0.000, 0.000), Tm at (0.000, 0.000, 0.205), Tm at (0.000, 0.000, 0.407), Mg at (0.500, 0.500, 0.102), Mg at (0.500, 0.500, 0.304) and Ag at (0.500, 0.500, 0.500).